This record from Alexandria describes crystalline KPrGa4 at its relaxed geometry. The functional is PBE-GGA.

POSCAR file:
```
KPrGa4
1.0
0.0000 4.0628 4.0628
4.0628 0.0000 4.0628
4.0628 4.0628 0.0000
K Pr Ga
1 1 4
Direct
0.0000 0.0000 0.0000
0.2500 0.2500 0.2500
0.1270 0.6243 0.6243
0.6243 0.1270 0.6243
0.6243 0.6243 0.1270
0.6243 0.6243 0.6243
```

For the energy of formation, the calculation gives -256 meV/atom. The value obtained for the total energy is -0.23913 Ry per atom.

This record from Alexandria describes crystalline K2PrGaS4 at its relaxed geometry. The functional is PBE-GGA.

POSCAR file:
```
K2PrGaS4
1.0
5.7821 -5.9641 0.0000
5.7821 5.9641 0.0000
-5.4886 0.0000 6.0326
K Pr Ga S
4 2 2 8
Direct
0.0000 0.0000 0.0000
0.0000 0.0000 0.5000
0.0000 0.5000 0.0000
0.5000 0.0000 0.5000
0.0000 0.5000 0.5000
0.5000 0.0000 0.0000
0.5000 0.5000 0.0000
0.5000 0.5000 0.5000
0.2594 0.7283 0.9729
0.2717 0.7406 0.5271
0.2969 0.3087 0.5105
0.3087 0.2969 0.0105
0.6913 0.7031 0.9895
0.7031 0.6913 0.4895
0.7283 0.2594 0.4729
0.7406 0.2717 0.0271
```

The value obtained for the total energy is -0.33213 Ry per atom. Its uncorrected formation energy is -1.2050 eV per atom.